No. 1
Hf2TlP2: relaxed, PBE.

Cell and atoms, written as extended XYZ:
```
10
Lattice="-4.995 2.143 -5.241 0.340 -6.862 -3.131 -2.500 -1.021 1.965" Properties=species:S:1:pos:R:3 pbc="T T T"
Hf -5.397 -1.111 -4.605
Tl 0.000 0.000 0.000
P -1.517 -5.142 -4.600
P -4.091 -2.526 -6.516
P -0.563 -2.193 -1.855
Hf -1.757 -4.628 -1.801
Hf -2.971 -0.749 -1.331
Hf -4.184 -4.990 -5.076
P -3.137 0.423 -3.771
Tl -2.327 -2.359 -4.186
```

## Properties
Theoretical density (g cm⁻³): 10.873
Formation enthalpy at 0 K (meV/atom): -508
Relative energy among the computed polymorphs (eV per atom): 0.027
Total moment (μB/atom): 0.000

***

No. 2
HfTl2P2: relaxed, PBE.

Cell and atoms, written as extended XYZ:
```
10
Lattice="6.675 0.000 0.000 0.000 6.675 0.000 0.000 0.000 5.081" Properties=species:S:1:pos:R:3 pbc="T T T"
Hf 0.000 0.000 0.000
Tl 2.007 1.330 2.541
P 2.536 5.873 0.000
Tl 4.667 5.344 2.541
Tl 5.344 2.007 2.541
Hf 3.337 3.337 0.000
P 0.801 2.536 0.000
Tl 1.330 4.667 2.541
P 4.138 0.801 0.000
P 5.873 4.138 0.000
```

## Properties
Theoretical density (g cm⁻³): 9.525
Formation enthalpy at 0 K (meV/atom): -53
Total moment (μB/atom): 0.000

***

No. 3
HfTlZn2P: relaxed, PBE.

Cell and atoms, written as extended XYZ:
```
5
Lattice="4.639 0.000 0.000 0.000 4.962 0.000 0.000 0.000 4.639" Properties=species:S:1:pos:R:3 pbc="T T T"
Hf 0.000 2.481 0.000
Zn 2.320 0.000 0.000
Zn 0.000 0.000 2.320
P 0.000 0.000 0.000
Tl 2.320 2.481 2.320
```

## Properties
Theoretical density (g cm⁻³): 8.469
Formation enthalpy at 0 K (meV/atom): 173
Total moment (μB/atom): 0.000

***

No. 4
TmHf2P3: relaxed, PBE.

Cell and atoms, written as extended XYZ:
```
6
Lattice="3.616 0.000 -1.025 -0.559 4.928 -1.972 -0.101 -0.286 6.537" Properties=species:S:1:pos:R:3 pbc="T T T"
Hf 0.684 3.934 2.414
P 0.930 1.419 3.282
Hf 2.272 0.708 1.126
P 0.000 0.000 0.000
P 2.026 3.223 0.258
Tm -0.279 2.464 -0.986
```

## Properties
Theoretical density (g cm⁻³): 9.032
Formation enthalpy at 0 K (meV/atom): -1365
Total moment (μB/atom): 0.000

***

No. 5
Tm5HfP6: relaxed, PBE.

Cell and atoms, written as extended XYZ:
```
12
Lattice="6.673 0.162 1.014 1.639 5.658 3.298 0.113 0.062 6.746" Properties=species:S:1:pos:R:3 pbc="T T T"
P 6.278 4.411 3.265
P 5.787 2.458 6.661
Hf 0.000 0.000 0.000
Tm 3.688 1.078 5.530
Tm 4.156 2.910 2.156
P 2.034 1.409 1.047
Tm 1.167 3.809 6.704
Tm 0.585 1.911 3.341
P 3.209 5.281 7.836
Tm 4.737 4.804 5.528
P 5.215 0.601 3.222
P 2.638 3.424 4.397
```

## Properties
Theoretical density (g cm⁻³): 7.997
Formation enthalpy at 0 K (meV/atom): -1562
Total moment (μB/atom): 0.000

***

No. 6
Tm3HfP4: relaxed, PBE.

Cell and atoms, written as extended XYZ:
```
8
Lattice="3.869 0.000 0.000 0.000 6.352 -2.165 0.000 -0.052 6.711" Properties=species:S:1:pos:R:3 pbc="T T T"
Hf 1.934 0.000 0.000
Tm 0.000 3.176 -1.082
P 0.000 4.791 3.457
Tm 0.000 -0.026 3.355
P 1.934 4.788 0.003
P 1.934 1.512 4.543
Tm 1.934 3.150 2.273
P 0.000 1.509 1.089
```

## Properties
Theoretical density (g cm⁻³): 8.170
Formation enthalpy at 0 K (meV/atom): -1533
Total moment (μB/atom): 0.000

***

No. 7
Tm2HfUP4: relaxed, PBE.

Cell and atoms, written as extended XYZ:
```
8
Lattice="3.866 0.000 0.000 0.000 6.684 0.125 0.000 -2.327 6.310" Properties=species:S:1:pos:R:3 pbc="T T T"
P 0.000 -0.121 4.802
Tm 0.000 2.178 3.217
U 1.933 3.342 0.062
Hf 0.000 0.000 0.000
P 1.933 3.301 4.901
P 0.000 4.477 1.633
Tm 1.933 -1.164 3.155
P 1.933 1.055 1.534
```

## Properties
Theoretical density (g cm⁻³): 8.883
Formation enthalpy at 0 K (meV/atom): -1358
Total moment (μB/atom): 0.263

***

No. 8
TmHfU2P4: relaxed, PBE.

Cell and atoms, written as extended XYZ:
```
8
Lattice="-1.736 -0.333 -3.422 -1.593 -6.328 1.423 -4.961 4.064 2.122" Properties=species:S:1:pos:R:3 pbc="T T T"
U -3.349 1.866 -0.650
Hf 0.000 0.000 0.000
P -2.414 -3.789 1.593
P -2.437 -0.710 -0.862
Tm -1.665 -3.330 -0.999
P -4.141 1.525 1.952
P -5.854 -1.887 0.985
U -3.277 -1.132 1.772
```

## Properties
Theoretical density (g cm⁻³): 9.582
Formation enthalpy at 0 K (meV/atom): -1224
Total moment (μB/atom): 0.531

***

No. 9
YTm2HfP4: relaxed, PBE.

Cell and atoms, written as extended XYZ:
```
8
Lattice="-2.755 2.324 1.452 2.502 -0.904 6.195 2.988 5.322 -2.849" Properties=species:S:1:pos:R:3 pbc="T T T"
Hf 0.000 0.000 0.000
P 2.854 3.790 -0.650
Y -0.127 0.710 3.824
Tm 0.117 3.823 -0.698
P 2.637 0.629 3.997
P -0.063 2.228 1.514
Tm 2.745 2.209 1.673
P 2.799 4.515 3.285
```

## Properties
Theoretical density (g cm⁻³): 7.268
Formation enthalpy at 0 K (meV/atom): -1530
Total moment (μB/atom): 0.000

***

No. 10
Y2TmHfP4: relaxed, PBE.

Cell and atoms, written as extended XYZ:
```
8
Lattice="-2.073 0.668 3.236 3.458 -4.844 3.216 3.177 5.925 0.811" Properties=species:S:1:pos:R:3 pbc="T T T"
Y 0.552 3.297 2.024
Y 3.318 0.541 2.014
P 3.371 -2.235 2.621
P 3.264 3.316 1.407
P 4.030 1.175 4.690
Hf 0.000 0.000 0.000
Tm 0.693 -2.088 3.226
P 0.532 0.575 2.573
```

## Properties
Theoretical density (g cm⁻³): 6.389
Formation enthalpy at 0 K (meV/atom): -1542
Total moment (μB/atom): 0.000

***

No. 11
TmHfZr2P4: relaxed, PBE.

Cell and atoms, written as extended XYZ:
```
8
Lattice="-3.216 -0.053 -1.962 1.798 -5.636 -2.795 -3.333 -1.269 5.498" Properties=species:S:1:pos:R:3 pbc="T T T"
Tm -0.709 -2.845 -2.379
Zr -3.275 -0.661 1.768
Zr -0.767 -3.452 1.351
P -2.001 -1.717 -0.291
P 0.516 -4.591 -0.721
P -2.750 -5.241 1.032
P -2.050 -2.314 3.424
Hf 0.000 0.000 0.000
```

## Properties
Theoretical density (g cm⁻³): 7.122
Formation enthalpy at 0 K (meV/atom): -1375
Total moment (μB/atom): 0.000

***

No. 12
Tm2HfZrP4: relaxed, PBE.

Cell and atoms, written as extended XYZ:
```
8
Lattice="-3.801 -0.035 -0.199 -0.040 -6.329 1.869 -0.319 3.898 5.407" Properties=species:S:1:pos:R:3 pbc="T T T"
Tm -0.179 -1.215 3.638
P -0.254 1.350 4.604
P -2.173 -1.807 5.420
Hf -1.920 -3.182 0.835
P -0.105 -3.781 2.672
Zr 0.000 0.000 0.000
Tm -2.060 1.932 2.604
P -1.986 -0.659 1.657
```

## Properties
Theoretical density (g cm⁻³): 7.678
Formation enthalpy at 0 K (meV/atom): -1461
Total moment (μB/atom): 0.000

***

No. 13
HfU4P6: relaxed, PBE.

Cell and atoms, written as extended XYZ:
```
22
Lattice="-2.458 6.223 -3.673 -6.818 -0.630 3.373 2.517 4.325 5.764" Properties=species:S:1:pos:R:3 pbc="T T T"
P -2.213 0.610 1.145
U -2.911 6.846 -0.222
U -3.847 3.072 5.686
U -0.431 4.642 4.248
P -4.846 5.354 7.258
P -1.912 4.564 -1.794
P -4.545 9.308 4.318
P -5.603 1.212 4.683
Hf -3.379 4.959 2.732
Hf 0.000 0.000 0.000
U -5.587 6.623 4.936
P -5.601 3.983 3.563
P -4.571 7.174 2.227
U -4.587 1.725 1.966
P -1.155 8.706 0.781
U -6.327 5.276 1.216
P -2.188 2.744 3.237
U -1.171 3.295 0.528
P -1.157 5.935 1.901
U -2.171 8.193 3.498
P -2.820 5.770 5.100
P -3.938 4.148 0.363
```

## Properties
Theoretical density (g cm⁻³): 9.833
Formation enthalpy at 0 K (meV/atom): -897
Total moment (μB/atom): 0.799

***

No. 14
HfU3P4: relaxed, PBE.

Cell and atoms, written as extended XYZ:
```
16
Lattice="-3.244 1.659 -5.623 5.617 -3.360 -1.558 -3.904 -6.660 0.288" Properties=species:S:1:pos:R:3 pbc="T T T"
U -1.425 -7.102 -1.933
P 2.793 -4.989 -1.109
U 0.537 -3.757 -2.077
P 0.833 -8.420 -0.936
P -1.677 -2.453 -3.048
P -4.324 -3.373 -5.784
P 0.145 -5.909 -3.845
Hf -1.293 -0.408 -1.370
P -2.365 0.059 -5.958
U -2.068 -4.605 -4.816
P -3.715 -5.840 -2.927
Hf -5.855 -4.594 -3.965
P 2.183 -2.521 -3.966
U -0.107 -1.259 -4.961
U -3.889 -1.241 -4.110
U -3.259 -3.761 -1.225
```

## Properties
Theoretical density (g cm⁻³): 10.282
Formation enthalpy at 0 K (meV/atom): -1069
Total moment (μB/atom): 0.784

***

No. 15
HfU2P4: relaxed, PBE.

Cell and atoms, written as extended XYZ:
```
14
Lattice="-0.190 3.670 -0.612 -6.370 -1.985 1.412 2.000 2.099 11.975" Properties=species:S:1:pos:R:3 pbc="T T T"
U -0.880 0.858 5.424
P -0.095 1.835 -0.306
Hf -0.201 3.372 8.950
U -2.968 3.673 11.617
P -4.820 3.265 9.740
P 0.260 0.519 3.035
P -2.916 2.525 4.708
Hf -4.360 0.412 3.825
U -1.593 0.111 1.158
P -3.387 2.030 1.884
P -1.645 1.259 8.066
P 0.905 2.884 5.682
U -3.680 2.925 7.351
P -1.173 1.754 10.891
```

## Properties
Theoretical density (g cm⁻³): 8.585
Formation enthalpy at 0 K (meV/atom): -677
Total moment (μB/atom): 0.496

***

No. 16
HfU2P3: relaxed, PBE.

Cell and atoms, written as extended XYZ:
```
6
Lattice="-1.023 3.371 1.581 0.089 -1.617 3.505 8.293 1.153 -1.805" Properties=species:S:1:pos:R:3 pbc="T T T"
P 1.081 1.271 2.679
U 1.618 0.412 0.143
P 6.375 2.643 3.179
Hf 6.843 1.766 0.636
P 4.311 1.111 0.397
U 3.773 1.969 2.933
```

## Properties
Theoretical density (g cm⁻³): 10.256
Formation enthalpy at 0 K (meV/atom): -1070
Total moment (μB/atom): 0.661

***

No. 17
HfZrU2P4: relaxed, PBE.

Cell and atoms, written as extended XYZ:
```
8
Lattice="3.805 0.000 0.000 0.000 6.602 0.118 0.000 -2.304 6.248" Properties=species:S:1:pos:R:3 pbc="T T T"
U 0.000 2.149 3.183
P 1.903 1.089 1.517
P 0.000 -0.065 4.802
P 1.903 3.209 4.849
Hf 1.903 3.301 0.059
Zr 0.000 0.000 0.000
U 1.903 -1.152 3.124
P 0.000 4.362 1.564
```

## Properties
Theoretical density (g cm⁻³): 9.141
Formation enthalpy at 0 K (meV/atom): -1202
Total moment (μB/atom): 0.518

***

No. 18
Hf2ZrUP4: relaxed, PBE.

Cell and atoms, written as extended XYZ:
```
8
Lattice="3.769 0.000 0.000 0.000 6.504 0.121 0.000 -2.265 6.105" Properties=species:S:1:pos:R:3 pbc="T T T"
Hf 0.000 2.119 3.113
Zr 0.000 0.000 0.000
U 1.884 3.252 0.061
P 1.884 3.191 4.632
P 0.000 4.334 1.680
P 1.884 1.047 1.594
P 0.000 -0.096 4.546
Hf 1.884 -1.132 3.052
```

## Properties
Theoretical density (g cm⁻³): 8.929
Formation enthalpy at 0 K (meV/atom): -1239
Total moment (μB/atom): 0.215

***

No. 19
Hf3VP: relaxed, PBE.

Cell and atoms, written as extended XYZ:
```
10
Lattice="6.418 0.155 -0.291 -1.607 6.215 0.291 -2.885 -2.823 4.863" Properties=species:S:1:pos:R:3 pbc="T T T"
Hf -2.628 3.947 3.979
P 0.236 -0.178 2.870
P 1.690 3.726 1.993
Hf 4.555 -0.400 0.883
Hf 0.024 1.944 1.174
V -0.205 5.157 1.354
Hf 1.902 1.603 3.688
Hf 3.462 2.387 0.776
V 2.131 -1.610 3.509
Hf -1.536 1.160 4.086
```

## Properties
Theoretical density (g cm⁻³): 10.581
Formation enthalpy at 0 K (meV/atom): -412
Relative energy among the computed polymorphs (eV per atom): 0.000
Total moment (μB/atom): 0.000

***

No. 20
Hf3VP: relaxed, PBE.

Cell and atoms, written as extended XYZ:
```
5
Lattice="-3.916 -1.212 -2.485 2.487 -3.426 -2.250 -1.207 -3.127 3.428" Properties=species:S:1:pos:R:3 pbc="T T T"
Hf -0.603 -1.564 1.714
P -1.318 -3.882 -0.653
Hf 1.244 -1.713 -1.125
Hf -1.958 -0.606 -1.242
V 0.000 0.000 0.000
```

## Properties
Theoretical density (g cm⁻³): 9.305
Formation enthalpy at 0 K (meV/atom): 801
Relative energy among the computed polymorphs (eV per atom): 1.213
Total moment (μB/atom): 0.000